Arrangement w

DFT (GGA-PBE) results for Hg2PN after structural relaxation.

POSCAR file:
```
Hg2PN
1.0
0.0000 3.3066 3.3066
3.3066 0.0000 3.3066
3.3066 3.3066 0.0000
P Hg N
1 2 1
Cartesian
3.3066 3.3066 3.3066
1.6533 1.6533 1.6533
4.9599 4.9599 4.9599
0.0000 0.0000 0.0000
```

Summary:
Size of the total moment, μB per formula unit: 2.078


Arrangement x

DFT (GGA-PBE) results for Hg2PN after structural relaxation.

POSCAR file:
```
Hg2PN
1.0
5.6161 0.0000 0.0000
0.0000 5.6161 0.0000
2.8081 2.8081 5.4057
P Hg N
2 4 2
Cartesian
0.0000 0.0000 0.0000
5.6161 2.8081 2.7029
3.9439 1.4040 1.3514
1.6722 4.2121 1.3514
4.2121 4.4803 4.0543
7.0202 6.7520 4.0543
2.8081 2.8081 0.0000
2.8081 5.6161 2.7029
```

Summary:
Size of the total moment, μB per formula unit: 0.000


arrangement x is preferred energetically. Next in line: 41.6 kJ/mol of atoms higher.


Arrangement w

DFT (GGA-PBE) results for HgPS2N after structural relaxation.

POSCAR file:
```
HgPS2N
1.0
-3.7302 2.0660 -2.3229
0.7134 -2.9625 -3.7806
-2.2164 -2.3774 1.4447
P S Hg N
1 2 1 1
Cartesian
-1.1082 -1.1887 0.7224
0.3567 -1.4813 -1.8903
-1.8651 1.0330 -1.1614
-2.6166 -1.6369 -2.3294
0.0000 0.0000 0.0000
```

Summary:
Size of the total moment, μB per formula unit: 0.000


Arrangement x

DFT (GGA-PBE) results for HgPS2N after structural relaxation.

POSCAR file:
```
HgPS2N
1.0
5.0494 0.0000 0.0000
0.0000 5.0494 0.0000
0.0000 0.0000 5.2940
P S Hg N
1 2 1 1
Cartesian
0.0000 0.0000 2.6470
0.0000 2.5247 0.0000
2.5247 0.0000 0.0000
0.0000 0.0000 0.0000
2.5247 2.5247 2.6470
```

Summary:
Size of the total moment, μB per formula unit: 2.327


Arrangement y

DFT (GGA-PBE) results for HgPS2N after structural relaxation.

POSCAR file:
```
HgPS2N
1.0
5.0905 0.0000 0.0000
0.0000 5.0905 0.0000
0.0000 0.0000 4.0893
P S Hg N
1 2 1 1
Cartesian
2.5453 2.5453 2.0447
0.0000 2.5453 0.0000
2.5453 0.0000 0.0000
0.0000 0.0000 0.0000
0.0000 0.0000 2.0447
```

Summary:
Size of the total moment, μB per formula unit: 1.925


Arrangement z

DFT (GGA-PBE) results for HgPS2N after structural relaxation.

POSCAR file:
```
HgPS2N
1.0
4.8608 0.0000 0.0000
0.0000 4.8608 0.0000
0.0000 0.0000 3.2977
P S Hg N
1 2 1 1
Cartesian
0.0000 0.0000 0.0000
0.0000 2.4304 0.0000
2.4304 0.0000 0.0000
2.4304 2.4304 1.6489
0.0000 0.0000 1.6489
```

Summary:
Size of the total moment, μB per formula unit: 0.000


arrangement z is preferred energetically. Next in line: 50.0 kJ/mol of atoms higher.


Arrangement w

DFT (GGA-PBE) results for HgPSN2 after structural relaxation.

POSCAR file:
```
HgPSN2
1.0
-3.1716 1.0481 0.9877
-1.0035 -3.3218 0.3026
1.8501 -0.0162 5.9583
P S Hg N
1 1 1 2
Cartesian
0.0000 0.0000 0.0000
0.9251 -0.0081 2.9791
-1.1625 -1.1450 3.6243
-0.5018 -1.6609 0.1513
-1.5858 0.5240 0.4938
```

Summary:
Size of the total moment, μB per formula unit: 0.622


Arrangement x

DFT (GGA-PBE) results for HgPSN2 after structural relaxation.

POSCAR file:
```
HgPSN2
1.0
-1.6276 2.5316 2.8496
-1.1957 -3.2812 2.2322
5.1458 0.0775 2.8703
P S Hg N
1 1 1 2
Cartesian
1.1613 -0.3360 3.9760
2.5729 0.0388 1.4351
0.0000 0.0000 0.0000
-0.5978 -1.6406 1.1161
-0.8138 1.2658 1.4248
```

Summary:
Size of the total moment, μB per formula unit: 2.473


arrangement w is preferred energetically. Next in line: 138.0 kJ/mol of atoms higher.


Arrangement w

DFT (GGA-PBE) results for HgP2SN after structural relaxation.

POSCAR file:
```
HgP2SN
1.0
5.0776 0.0000 0.0000
0.0000 5.0776 0.0000
0.0000 0.0000 5.1521
P S Hg N
2 1 1 1
Cartesian
0.0000 2.5388 0.0000
2.5388 0.0000 0.0000
0.0000 0.0000 2.5761
0.0000 0.0000 0.0000
2.5388 2.5388 2.5761
```

Summary:
Size of the total moment, μB per formula unit: 3.869


Arrangement x

DFT (GGA-PBE) results for HgP2SN after structural relaxation.

POSCAR file:
```
HgP2SN
1.0
-0.0831 -1.7349 3.8162
4.0990 -0.8331 -0.2895
0.9225 3.9136 1.7993
P S Hg N
2 1 1 1
Cartesian
2.0495 -0.4166 -0.1448
-0.0415 -0.8675 1.9081
0.4613 1.9568 0.8996
2.4692 0.6728 2.6630
0.0000 0.0000 0.0000
```

Summary:
Size of the total moment, μB per formula unit: 0.000


arrangement x is preferred energetically. Next in line: 115.2 kJ/mol of atoms higher.


Arrangement w

DFT (GGA-PBE) results for HgTe2PN after structural relaxation.

POSCAR file:
```
HgTe2PN
1.0
5.7141 0.0000 0.0000
0.0000 5.7141 0.0000
0.0000 0.0000 4.0384
P Te Hg N
1 2 1 1
Cartesian
2.8570 2.8570 2.0192
0.0000 2.8570 0.0000
2.8570 0.0000 0.0000
0.0000 0.0000 0.0000
0.0000 0.0000 2.0192
```

Summary:
Size of the total moment, μB per formula unit: 1.365


Arrangement x

DFT (GGA-PBE) results for HgTe2PN after structural relaxation.

POSCAR file:
```
HgTe2PN
1.0
5.9037 0.0000 0.0000
0.0000 5.9037 0.0000
0.0000 0.0000 3.2380
P Te Hg N
1 2 1 1
Cartesian
0.0000 0.0000 0.0000
0.0000 2.9519 0.0000
2.9519 0.0000 0.0000
2.9519 2.9519 1.6190
0.0000 0.0000 1.6190
```

Summary:
Size of the total moment, μB per formula unit: 0.000


arrangement x is preferred energetically. Next in line: 100.2 kJ/mol of atoms higher.


Arrangement w

DFT (GGA-PBE) results for PaHgN after structural relaxation.

POSCAR file:
```
PaHgN
1.0
-2.8306 0.3669 1.4887
0.0224 -3.1154 0.8105
4.3245 2.7516 4.0639
Pa Hg N
1 1 1
Cartesian
-0.0688 -0.7446 3.5333
0.0222 0.0105 0.0396
1.5630 0.7371 2.7902
```

Summary:
Size of the total moment, μB per formula unit: 0.445


Arrangement x

DFT (GGA-PBE) results for PaHgN after structural relaxation.

POSCAR file:
```
PaHgN
1.0
-3.4406 -0.2612 -1.8632
0.4924 -3.8732 -0.3664
-3.5791 -1.0956 6.7707
Pa Hg N
2 2 2
Cartesian
-6.0633 -1.7492 4.7363
-1.5916 -2.7880 0.7420
-4.4337 -1.2498 1.6495
-3.2215 -3.2871 3.8287
-2.7749 -2.7544 -1.2037
-1.3009 -0.6872 -0.0888
```

Summary:
Size of the total moment, μB per formula unit: 0.169


arrangement x is preferred energetically. Next in line: 43.5 kJ/mol of atoms higher.